{
  "formula": "SmPu2ScBi4",
  "functional": "PBE-GGA",
  "state": "optimized geometry",
  "formation_enthalpy_0k_ev_per_atom": -0.544,
  "m_tot_mub_per_fu": 10.291,
  "sg": "P2/m (10)",
  "dos_at_fermi_per_ev_cell": 30.6,
  "lattice_angstrom": [[7.7598, 0.0000, 0.0000], [0.0000, 4.4787, 0.0000], [-2.5858, 0.0000, 7.3179]],
  "species": ["Sm", "Pu", "Pu", "Sc", "Bi", "Bi", "Bi", "Bi"],
  "fractional_positions": [[0.0000, 0.0000, 0.0000], [0.0000, 0.5000, 0.5000], [0.5000, 0.0000, 0.5000], [0.5000, 0.5000, 0.0000], [0.2583, 0.5000, 0.2462], [0.2631, 0.0000, 0.7606], [0.7369, 0.0000, 0.2394], [0.7417, 0.5000, 0.7538]]
}